Entry 1:
A plane-wave DFT calculation with GGA-PBE was carried out for PmGa2Sn after structural relaxation.

Structure (CIF):
```
data_PmGa2Sn
_cell_length_a 4.5449
_cell_length_b 4.5449
_cell_length_c 4.3815
_cell_angle_alpha 90.00
_cell_angle_beta 90.00
_cell_angle_gamma 90.00
_space_group_name_H-M_alt 'P 4/m m m'
_space_group_IT_number 123
_space_group_name_Hall '-P 4 2'
loop_
_atom_site_label
_atom_site_fract_x
_atom_site_fract_y
_atom_site_fract_z
Pm1 0.0000 0.0000 0.0000
Ga1 0.0000 0.5000 0.5000
Sn1 0.5000 0.5000 0.0000
```

Computed properties:
The spin magnetization is 0.000 μB per atom. The calculation puts the distance to the lowest polymorph of the same formula at 0 meV per atom. The value obtained for the formation energy from the elements is -200 kJ/mol of formula units.


Entry 2:
A plane-wave DFT calculation with GGA-PBE was carried out for Pm2Ga3Sn after structural relaxation.

Structure (CIF):
```
data_Pm2Ga3Sn
_cell_length_a 4.2649
_cell_length_b 4.3604
_cell_length_c 7.6060
_cell_angle_alpha 90.00
_cell_angle_beta 90.00
_cell_angle_gamma 90.00
_space_group_name_H-M_alt 'P m m 2'
_space_group_IT_number 25
_space_group_name_Hall 'P 2 -2'
loop_
_atom_site_label
_atom_site_fract_x
_atom_site_fract_y
_atom_site_fract_z
Pm1 0.0000 0.0000 0.0000
Pm2 0.0000 0.5000 0.4844
Ga1 0.5000 0.0000 0.3192
Ga2 0.5000 0.0000 0.6392
Ga3 0.5000 0.5000 0.1727
Sn1 0.5000 0.5000 0.8278
```

Computed properties:
The spin magnetization is 0.000 μB per atom. The value obtained for the formation energy from the elements is -373 kJ/mol of formula units.


Entry 3:
A plane-wave DFT calculation with GGA-PBE was carried out for Pm7Ga2Sn2 after structural relaxation.

Structure (CIF):
```
data_Pm7Ga2Sn2
_cell_length_a 7.8493
_cell_length_b 11.2004
_cell_length_c 7.8862
_cell_angle_alpha 90.00
_cell_angle_beta 90.00
_cell_angle_gamma 90.00
_space_group_name_H-M_alt 'C m m m'
_space_group_IT_number 65
_space_group_name_Hall '-C 2 2'
loop_
_atom_site_label
_atom_site_fract_x
_atom_site_fract_y
_atom_site_fract_z
Pm1 0.0000 0.0000 0.0000
Pm2 0.0000 0.5000 0.2797
Pm3 0.2500 0.2500 0.2964
Ga1 0.1647 0.0000 0.5000
Sn1 0.0000 0.2964 0.0000
```

Computed properties:
The spin magnetization is 0.000 μB per atom. The value obtained for the formation energy from the elements is -266 kJ/mol of formula units.


Entry 4:
A plane-wave DFT calculation with GGA-PBE was carried out for Pm6GaSn5 after structural relaxation.

Structure (CIF):
```
data_Pm6GaSn5
_cell_length_a 8.1201
_cell_length_b 11.2457
_cell_length_c 8.1958
_cell_angle_alpha 90.00
_cell_angle_beta 101.46
_cell_angle_gamma 90.00
_space_group_name_H-M_alt 'C 1 2/m 1'
_space_group_IT_number 12
_space_group_name_Hall '-C 2y'
loop_
_atom_site_label
_atom_site_fract_x
_atom_site_fract_y
_atom_site_fract_z
Pm1 0.2245 0.0000 0.2247
Pm2 0.2336 0.1653 0.7328
Ga1 0.0000 0.0000 0.5000
Sn1 0.0000 0.1992 0.0000
Sn2 0.0000 0.3599 0.5000
Sn3 0.0000 0.5000 0.0000
```

Computed properties:
The spin magnetization is 0.000 μB per atom. The value obtained for the formation energy from the elements is -652 kJ/mol of formula units.


Entry 5:
A plane-wave DFT calculation with GGA-PBE was carried out for PmGa2Sn2 after structural relaxation.

Structure (CIF):
```
data_PmGa2Sn2
_cell_length_a 4.7252
_cell_length_b 21.4233
_cell_length_c 4.6682
_cell_angle_alpha 90.00
_cell_angle_beta 90.00
_cell_angle_gamma 90.00
_space_group_name_H-M_alt 'C m c m'
_space_group_IT_number 63
_space_group_name_Hall '-C 2c 2'
loop_
_atom_site_label
_atom_site_fract_x
_atom_site_fract_y
_atom_site_fract_z
Pm1 0.0000 0.1347 0.2500
Ga1 0.0000 0.0300 0.7500
Ga2 0.0000 0.4639 0.7500
Sn1 0.0000 0.2492 0.7500
Sn2 0.0000 0.3753 0.2500
```

Computed properties:
The spin magnetization is 0.000 μB per atom. The value obtained for the formation energy from the elements is -182 kJ/mol of formula units.


Entry 6:
A plane-wave DFT calculation with GGA-PBE was carried out for Pm2GaSn4 after structural relaxation.

Structure (CIF):
```
data_Pm2GaSn4
_cell_length_a 8.9973
_cell_length_b 8.9616
_cell_length_c 6.5989
_cell_angle_alpha 90.00
_cell_angle_beta 132.87
_cell_angle_gamma 90.00
_space_group_name_H-M_alt 'C 1 2/m 1'
_space_group_IT_number 12
_space_group_name_Hall '-C 2y'
loop_
_atom_site_label
_atom_site_fract_x
_atom_site_fract_y
_atom_site_fract_z
Pm1 0.2500 0.2500 0.0000
Ga1 0.0000 0.0000 0.0000
Sn1 0.0000 0.0000 0.5000
Sn2 0.0000 0.5000 0.5000
Sn3 0.2500 0.2500 0.5000
```

Computed properties:
The spin magnetization is 0.000 μB per atom. The calculation puts the distance to the lowest polymorph of the same formula at 0 meV per atom. The value obtained for the formation energy from the elements is -328 kJ/mol of formula units.


Entry 7:
A plane-wave DFT calculation with GGA-PBE was carried out for Pm2Ga3Sn3 after structural relaxation.

Structure (CIF):
```
data_Pm2Ga3Sn3
_cell_length_a 4.4031
_cell_length_b 4.5154
_cell_length_c 9.5793
_cell_angle_alpha 90.00
_cell_angle_beta 90.00
_cell_angle_gamma 90.00
_space_group_name_H-M_alt 'P m m m'
_space_group_IT_number 47
_space_group_name_Hall '-P 2 2'
loop_
_atom_site_label
_atom_site_fract_x
_atom_site_fract_y
_atom_site_fract_z
Pm1 0.0000 0.0000 0.2439
Ga1 0.5000 0.0000 0.0000
Ga2 0.5000 0.5000 0.2321
Sn1 0.0000 0.5000 0.0000
Sn2 0.0000 0.5000 0.5000
Sn3 0.5000 0.0000 0.5000
```

Computed properties:
The spin magnetization is 0.000 μB per atom. The value obtained for the formation energy from the elements is -395 kJ/mol of formula units.


Entry 8:
A plane-wave DFT calculation with GGA-PBE was carried out for Pm5GaSn8 after structural relaxation.

Structure (CIF):
```
data_Pm5GaSn8
_cell_length_a 9.7291
_cell_length_b 9.7291
_cell_length_c 8.5809
_cell_angle_alpha 90.00
_cell_angle_beta 90.00
_cell_angle_gamma 90.00
_space_group_name_H-M_alt 'I -4'
_space_group_IT_number 82
_space_group_name_Hall 'I -4'
loop_
_atom_site_label
_atom_site_fract_x
_atom_site_fract_y
_atom_site_fract_z
Pm1 0.0000 0.0000 0.0000
Pm2 0.1332 0.7169 0.6525
Ga1 0.0000 0.5000 0.2500
Sn1 0.0645 0.8556 0.3272
Sn2 0.0779 0.6797 0.0175
```

Computed properties:
The spin magnetization is 0.000 μB per atom. The value obtained for the formation energy from the elements is -605 kJ/mol of formula units.


Entry 9:
A plane-wave DFT calculation with GGA-PBE was carried out for Pm5Ga4Sn after structural relaxation.

Structure (CIF):
```
data_Pm5Ga4Sn
_cell_length_a 3.6527
_cell_length_b 3.6527
_cell_length_c 19.0868
_cell_angle_alpha 90.00
_cell_angle_beta 90.00
_cell_angle_gamma 90.00
_space_group_name_H-M_alt 'P 4/m m m'
_space_group_IT_number 123
_space_group_name_Hall '-P 4 2'
loop_
_atom_site_label
_atom_site_fract_x
_atom_site_fract_y
_atom_site_fract_z
Pm1 0.0000 0.0000 0.0000
Pm2 0.0000 0.0000 0.1933
Pm3 0.0000 0.0000 0.3900
Ga1 0.5000 0.5000 0.0959
Ga2 0.5000 0.5000 0.2894
Sn1 0.5000 0.5000 0.5000
```

Computed properties:
The spin magnetization is 0.000 μB per atom. The value obtained for the formation energy from the elements is -556 kJ/mol of formula units.


Entry 10:
A plane-wave DFT calculation with GGA-PBE was carried out for Pm5GaSn2 after structural relaxation.

Structure (CIF):
```
data_Pm5GaSn2
_cell_length_a 8.0945
_cell_length_b 12.5273
_cell_length_c 4.7910
_cell_angle_alpha 90.00
_cell_angle_beta 90.00
_cell_angle_gamma 90.00
_space_group_name_H-M_alt 'P b a m'
_space_group_IT_number 55
_space_group_name_Hall '-P 2 2ab'
loop_
_atom_site_label
_atom_site_fract_x
_atom_site_fract_y
_atom_site_fract_z
Pm1 0.0000 0.0000 0.0000
Pm2 0.1544 0.2826 0.0000
Pm3 0.1929 0.5683 0.5000
Ga1 0.0000 0.5000 0.0000
Sn1 0.0764 0.8294 0.5000
```

Computed properties:
The spin magnetization is 0.000 μB per atom. The calculation puts the distance to the lowest polymorph of the same formula at 0 meV per atom. The value obtained for the formation energy from the elements is -464 kJ/mol of formula units.


Entry 11:
A plane-wave DFT calculation with GGA-PBE was carried out for Pm4Ga2Sn3 after structural relaxation.

Structure (CIF):
```
data_Pm4Ga2Sn3
_cell_length_a 10.8973
_cell_length_b 4.4152
_cell_length_c 11.1556
_cell_angle_alpha 90.00
_cell_angle_beta 113.05
_cell_angle_gamma 90.00
_space_group_name_H-M_alt 'C 1 2/m 1'
_space_group_IT_number 12
_space_group_name_Hall '-C 2y'
loop_
_atom_site_label
_atom_site_fract_x
_atom_site_fract_y
_atom_site_fract_z
Pm1 0.0786 0.0000 0.3630
Pm2 0.1427 0.5000 0.8911
Ga1 0.1936 0.5000 0.2108
Sn1 0.0000 0.0000 0.0000
Sn2 0.1308 0.5000 0.6046
```

Computed properties:
The spin magnetization is 0.000 μB per atom. The value obtained for the formation energy from the elements is -483 kJ/mol of formula units.


formation energy from the elements of number 1 (PmGa2Sn)?
-200 kJ/mol of formula units